# KCo3Rh | the Alexandria database | GGA-PBE | optimized geometry
data_KCo3Rh
_cell_length_a 4.332
_cell_length_b 4.332
_cell_length_c 4.332
_cell_angle_alpha 90.00
_cell_angle_beta 90.00
_cell_angle_gamma 90.00
_symmetry_space_group_name_H-M 'P 1'
_symmetry_Int_Tables_number 1
loop_
_symmetry_equiv_pos_as_xyz
'x,y,z'
loop_
_atom_site_label
_atom_site_type_symbol
_atom_site_fract_x
_atom_site_fract_y
_atom_site_fract_z
Co1 Co 0.000 0.500 0.000
Co2 Co 0.000 0.000 0.500
Co3 Co 0.500 0.000 0.000
K1 K 0.000 0.000 0.000
Rh1 Rh 0.500 0.500 0.500
# crystal system = cubic
# space-group type = Pm-3m (221)
# D(E_F) = 8.69 states/eV per cell
# density = 6.51 g/cm³
# energy relative to the lowest polymorph listed for this composition = 1.316 eV/atom
# total DFT energy (no corrections) = -17.59 eV per cell
# energy relative to the elements = 2.434 eV per atom